# Na2SiAg

A relaxed Na2SiAg crystal (PBE, the Alexandria database).

Output
E_form (uncorrected)	0.32	eV per atom
E_tot	-2.41	eV per atom

a = 6.446 Å, b = 6.446 Å, c = 6.446 Å
α = 99.35°, β = 99.35°, γ = 132.45°
Fractional coordinates of all 8 atoms:
Na 0.125 0.625 0.000
Na 0.375 0.375 0.500
Na 0.625 0.125 0.000
Na 0.875 0.875 0.500
Si 0.000 0.000 0.000
Si 0.750 0.250 0.500
Ag 0.250 0.750 0.500
Ag 0.500 0.500 0.000

=====

# NaSiAg

A relaxed NaSiAg crystal (PBE, the Alexandria database).

Output
E_form (uncorrected)	0.23	eV per atom
E_tot	-2.97	eV per atom

a = 6.174 Å, b = 6.174 Å, c = 4.379 Å
α = 90.00°, β = 90.00°, γ = 108.68°
Fractional coordinates of all 6 atoms:
Na 0.205 0.795 0.000
Na 0.795 0.205 0.000
Si 0.333 0.333 0.500
Si 0.667 0.667 0.500
Ag 0.000 0.000 0.500
Ag 0.500 0.500 0.000

=====

# Na2Si2Ag

A relaxed Na2Si2Ag crystal (PBE, the Alexandria database).

Output
E_form (uncorrected)	0.05	eV per atom
ΔE to the lowest computed polymorph	0.0	meV/atom
E_tot	-3.22	eV per atom

a = 6.499 Å, b = 6.499 Å, c = 4.886 Å
α = 90.00°, β = 90.00°, γ = 90.00°
Fractional coordinates of all 10 atoms:
Na 0.176 0.324 0.000
Na 0.324 0.824 0.000
Na 0.676 0.176 0.000
Na 0.824 0.676 0.000
Si 0.128 0.628 0.500
Si 0.372 0.128 0.500
Si 0.628 0.872 0.500
Si 0.872 0.372 0.500
Ag 0.000 0.000 0.500
Ag 0.500 0.500 0.500

=====

# Na2Si2Ag

A relaxed Na2Si2Ag crystal (PBE, the Alexandria database).

Output
E_form (uncorrected)	0.38	eV per atom
ΔE to the lowest computed polymorph	325.5	meV/atom
E_tot	-2.89	eV per atom

a = 7.089 Å, b = 7.089 Å, c = 7.089 Å
α = 146.90°, β = 146.90°, γ = 47.52°
Fractional coordinates of all 5 atoms:
Na 0.250 0.750 0.500
Na 0.750 0.250 0.500
Si 0.085 0.085 0.000
Si 0.915 0.915 0.000
Ag 0.500 0.500 0.000

=====

# NaSiAg

A relaxed NaSiAg crystal (PBE, the Alexandria database).

Output
E_form (uncorrected)	0.11	eV per atom
E_tot	-3.09	eV per atom

a = 4.621 Å, b = 4.621 Å, c = 3.050 Å
α = 90.00°, β = 90.00°, γ = 120.00°
Fractional coordinates of all 3 atoms:
Na 0.000 0.000 0.000
Si 0.333 0.667 0.500
Ag 0.667 0.333 0.500

=====

# NaSi2Ag

A relaxed NaSi2Ag crystal (PBE, the Alexandria database).

Output
E_form (uncorrected)	0.42	eV per atom
E_tot	-3.33	eV per atom

a = 4.671 Å, b = 4.671 Å, c = 4.671 Å
α = 60.00°, β = 60.00°, γ = 60.00°
Fractional coordinates of all 4 atoms:
Na 0.000 0.000 0.000
Si 0.250 0.250 0.250
Si 0.750 0.750 0.750
Ag 0.500 0.500 0.500

=====

# NaSiAg

A relaxed NaSiAg crystal (PBE, the Alexandria database).

Output
E_form (uncorrected)	0.11	eV per atom
E_tot	-3.08	eV per atom

a = 3.879 Å, b = 5.668 Å, c = 6.654 Å
α = 72.98°, β = 73.33°, γ = 89.84°
Fractional coordinates of all 6 atoms:
Na 0.114 0.301 0.273
Na 0.886 0.699 0.727
Si 0.237 0.867 0.027
Si 0.763 0.133 0.973
Ag 0.413 0.282 0.675
Ag 0.587 0.718 0.325

=====

# Na2SiAg

A relaxed Na2SiAg crystal (PBE, the Alexandria database).

Output
E_form (uncorrected)	0.07	eV per atom
E_tot	-2.66	eV per atom

a = 5.871 Å, b = 5.871 Å, c = 5.574 Å
α = 90.00°, β = 90.00°, γ = 74.18°
Fractional coordinates of all 8 atoms:
Na 0.029 0.334 0.250
Na 0.334 0.029 0.750
Na 0.666 0.971 0.250
Na 0.971 0.666 0.750
Si 0.200 0.800 0.250
Si 0.800 0.200 0.750
Ag 0.500 0.500 0.000
Ag 0.500 0.500 0.500

=====

# NaSiAg4

A relaxed NaSiAg4 crystal (PBE, the Alexandria database).

Output
E_form (uncorrected)	0.09	eV per atom
E_tot	-2.93	eV per atom

a = 7.130 Å, b = 4.436 Å, c = 7.405 Å
α = 90.00°, β = 90.00°, γ = 90.00°
Fractional coordinates of all 12 atoms:
Na 0.250 0.000 0.137
Na 0.750 0.000 0.863
Si 0.250 0.000 0.747
Si 0.750 0.000 0.253
Ag 0.000 0.000 0.500
Ag 0.053 0.500 0.809
Ag 0.250 0.500 0.452
Ag 0.447 0.500 0.809
Ag 0.500 0.000 0.500
Ag 0.553 0.500 0.191
Ag 0.750 0.500 0.548
Ag 0.947 0.500 0.191

=====

# NaSrSiAg

A relaxed NaSrSiAg crystal (PBE, the Alexandria database).

Output
E_form (uncorrected)	-0.08	eV per atom
E_tot	-2.90	eV per atom

a = 5.055 Å, b = 5.055 Å, c = 5.055 Å
α = 60.00°, β = 60.00°, γ = 60.00°
Fractional coordinates of all 4 atoms:
Na 0.000 0.000 0.000
Sr 0.250 0.250 0.250
Si 0.500 0.500 0.500
Ag 0.750 0.750 0.750

=====

# NaSm2Ag6

A relaxed NaSm2Ag6 crystal (PBE, the Alexandria database).

Output
formation enthalpy at 0 K	-0.15	eV per atom
E_tot	-3.25	eV per atom

a = 8.430 Å, b = 8.430 Å, c = 3.319 Å
α = 90.00°, β = 90.00°, γ = 119.94°
Fractional coordinates of all 9 atoms:
Na 0.000 0.000 0.000
Sm 0.333 0.667 0.000
Sm 0.667 0.333 0.000
Ag 0.000 0.333 0.500
Ag 0.000 0.667 0.500
Ag 0.333 0.000 0.500
Ag 0.333 0.333 0.500
Ag 0.667 0.000 0.500
Ag 0.667 0.667 0.500

=====

# NaSmAg

A relaxed NaSmAg crystal (PBE, the Alexandria database).

Output
ΔE to the lowest computed polymorph	65.4	meV/atom
formation enthalpy at 0 K	0.09	eV per atom
E_tot	-2.87	eV per atom

a = 5.144 Å, b = 5.144 Å, c = 3.386 Å
α = 90.00°, β = 90.00°, γ = 120.00°
Fractional coordinates of all 3 atoms:
Na 0.000 0.000 0.000
Sm 0.333 0.667 0.499
Ag 0.667 0.333 0.997